## Na2SnBi2 (GGA-PBE)

Data for a relaxed Na2SnBi2 crystal.

The value obtained for the formation energy from the elements is 0.04 eV/atom. Its raw total energy is -2.84 eV per atom. The total magnetic moment comes out at 0.000 μB per atom. The value obtained for the energy above the lowest structure with this stoichiometry is 224.9 meV per atom.

a b c (Å): 4.5443 4.5443 8.4285
angles (deg): 74.36 74.36 90.00
Last column: nearest neighbours and their distance in Å.
Fractional positions:
Na 0.7500 0.2500 0.5000  4 Na 3.21, 4 Bi 3.29
Na 0.2500 0.7500 0.5000  4 Na 3.21, 4 Bi 3.29
Bi 0.4029 0.4029 0.1941  1 Bi 3.02, 4 Na 3.29
Bi 0.5970 0.5970 0.8059  1 Bi 3.02, 4 Na 3.29
Sn 0.0000 0.0000 0.0000  8 Bi 3.55